No. 1
# VCrPt

Crystalline VCrPt at its relaxed geometry (PBE, Alexandria via LeMat-Bulk).

As for the total energy: -8.4808 eV/atom. Its mass density is 12124 kg/m³. For the energy of formation from the pure elements, the calculation gives -0.220 eV per atom.

The structure belongs to space group P-1 (No. 2); the cell edges are 2.776, 4.415 and 6.819 Å and the angles 81.17°, 81.28° and 88.69°. The distinct sites, in fractional coordinates, are V at (0.069, 0.305, 0.268), Cr at (0.231, 0.754, 0.026) and Pt at (0.437, 0.217, 0.633).

***

No. 2
# DyTh2Te3

Crystalline DyTh2Te3 at its relaxed geometry (PBE, Alexandria via LeMat-Bulk).

As for the total energy: -5.9277 eV/atom. Its mass density is 9950 kg/m³. The value obtained for the energy relative to the elements, uncorrected is -1.117 eV per atom.

The structure belongs to space group P4/mmm (No. 123); the cell edges are 3.836, 3.836 and 11.448 Å and the angles 90.00°, 90.00° and 90.00°. The distinct sites, in fractional coordinates, are Dy at (0.000, 0.000, 0.000), Th at (0.000, 0.000, 0.331), Te at (0.500, 0.500, 0.164) and Te at (0.500, 0.500, 0.500).

***

No. 3
# PdPt

Crystalline PdPt at its relaxed geometry (PBE, Alexandria via LeMat-Bulk).

As for the total energy: -5.6540 eV/atom. Its mass density is 16176 kg/m³. For the energy of formation from the pure elements, the calculation gives -0.037 eV per atom.

The structure belongs to space group C2/m (No. 12); the cell edges are 4.822, 2.794 and 4.870 Å and the angles 90.00°, 109.33° and 90.00°. The distinct sites, in fractional coordinates, are Pd at (0.000, 0.000, 0.000) and Pt at (0.000, 0.500, 0.500).

***

No. 4
# KSn3Au

Crystalline KSn3Au at its relaxed geometry (PBE, Alexandria via LeMat-Bulk).

As for the total energy: -3.1409 eV/atom. Its mass density is 5746 kg/m³. For the energy of formation from the pure elements, the calculation gives 0.136 eV per atom.

The structure belongs to space group Pm-3m (No. 221); the cell edges are 5.552, 5.552 and 5.552 Å and the angles 90.00°, 90.00° and 90.00°. The distinct sites, in fractional coordinates, are K at (0.000, 0.000, 0.000), Sn at (0.000, 0.500, 0.500) and Au at (0.500, 0.500, 0.500).

***

No. 5
# MgPa2NiN5

Crystalline MgPa2NiN5 at its relaxed geometry (PBE, Alexandria via LeMat-Bulk).

As for the total energy: -8.4742 eV/atom. Its mass density is 9635 kg/m³. The value obtained for the energy relative to the elements, uncorrected is -0.919 eV per atom.

The structure belongs to space group Cmc2_1 (No. 36); the cell edges are 3.356, 12.900 and 9.795 Å and the angles 90.00°, 90.00° and 90.00°. The distinct sites, in fractional coordinates, are Mg at (0.000, 0.203, 0.000), Pa at (0.000, 0.104, 0.683), Pa at (0.000, 0.148, 0.296), Ni at (0.000, 0.475, 0.454), N at (0.000, 0.051, 0.068), N at (0.000, 0.278, 0.672), N at (0.000, 0.329, 0.360), N at (0.000, 0.372, 0.000) and N at (0.000, 0.481, 0.771).

***

No. 6
# TlHg2S2F

Crystalline TlHg2S2F at its relaxed geometry (PBE, Alexandria via LeMat-Bulk).

As for the total energy: -2.7763 eV/atom. Its mass density is 6378 kg/m³. The value obtained for the energy relative to the elements, uncorrected is -0.594 eV per atom.

The structure belongs to space group P2_1/m (No. 11); the cell edges are 7.207, 6.899 and 7.312 Å and the angles 90.00°, 99.51° and 90.00°. The distinct sites, in fractional coordinates, are Tl at (0.130, 0.250, 0.139), Hg at (0.333, 0.000, 0.684), S at (0.130, 0.750, 0.541), S at (0.495, 0.250, 0.870) and F at (0.379, 0.250, 0.386).

***

No. 7
# KZr2Os

Crystalline KZr2Os at its relaxed geometry (PBE, Alexandria via LeMat-Bulk).

As for the total energy: -7.1879 eV/atom. Its mass density is 6392 kg/m³. For the energy of formation from the pure elements, the calculation gives 0.168 eV per atom.

The structure belongs to space group P2/m (No. 10); the cell edges are 3.206, 3.171 and 10.522 Å and the angles 90.00°, 90.09° and 90.00°. The distinct sites, in fractional coordinates, are K at (0.000, 0.000, 0.000), Zr at (0.491, 0.500, 0.341) and Os at (0.000, 0.000, 0.500).

***

No. 8
# CdSnAuI2

Crystalline CdSnAuI2 at its relaxed geometry (PBE, Alexandria via LeMat-Bulk).

As for the total energy: -2.2084 eV/atom. Its mass density is 5641 kg/m³. The value obtained for the energy relative to the elements, uncorrected is 0.051 eV per atom.

The structure belongs to space group P4/mmm (No. 123); the cell edges are 6.209, 6.209 and 5.207 Å and the angles 90.00°, 90.00° and 90.00°. The distinct sites, in fractional coordinates, are Cd at (0.000, 0.000, 0.000), Sn at (0.500, 0.500, 0.500), Au at (0.500, 0.500, 0.000) and I at (0.000, 0.500, 0.500).

***

No. 9
# RbLaPO4

Crystalline RbLaPO4 at its relaxed geometry (PBE, Alexandria via LeMat-Bulk).

As for the total energy: -6.7877 eV/atom. Its mass density is 2994 kg/m³. The value obtained for the energy relative to the elements, uncorrected is -2.339 eV per atom.

The structure belongs to space group F-43m (No. 216); the cell edges are 8.915, 8.915 and 8.915 Å and the angles 90.00°, 90.00° and 90.00°. The distinct sites, in fractional coordinates, are Rb at (0.000, 0.000, 0.000), La at (0.250, 0.250, 0.750), P at (0.000, 0.000, 0.500) and O at (0.101, 0.101, 0.601).

***

No. 10
# PrMg2ZnGa2

Crystalline PrMg2ZnGa2 at its relaxed geometry (PBE, Alexandria via LeMat-Bulk).

As for the total energy: -2.5370 eV/atom. Its mass density is 4361 kg/m³. For the energy of formation from the pure elements, the calculation gives 0.012 eV per atom.

The structure belongs to space group I4/mmm (No. 139); the cell edges are 5.227, 5.227 and 10.992 Å and the angles 90.00°, 90.00° and 90.00°. The distinct sites, in fractional coordinates, are Pr at (0.000, 0.000, 0.000), Mg at (0.000, 0.500, 0.250), Zn at (0.000, 0.000, 0.500) and Ga at (0.000, 0.000, 0.285).

***

No. 11
# PrPt9Au2

Crystalline PrPt9Au2 at its relaxed geometry (PBE, Alexandria via LeMat-Bulk).

As for the total energy: -5.7356 eV/atom. Its mass density is 17362 kg/m³. For the energy of formation from the pure elements, the calculation gives -0.260 eV per atom.

The structure belongs to space group R-3m (No. 166, hexagonal axes); the cell edges are 5.3953, 5.3953 and 26.0714 Å and the angles 90.00°, 90.00° and 120.00°. The distinct sites, in fractional coordinates, are Pr at (0.0000, 0.0000, 0.0000), Pt at (0.0000, 0.0000, 0.3338), Pt at (0.0000, 0.0000, 0.5000), Pt at (0.0038, 0.5019, 0.9149) and Au at (0.0000, 0.0000, 0.1509).

***

No. 12
# BePPb

Crystalline BePPb at its relaxed geometry (PBE, Alexandria via LeMat-Bulk).

As for the total energy: -4.0076 eV/atom. Its mass density is 6576 kg/m³. For the energy of formation from the pure elements, the calculation gives 0.274 eV per atom.

The structure belongs to space group Fmm2 (No. 42); the cell edges are 3.831, 5.499 and 11.850 Å and the angles 90.00°, 90.00° and 90.00°. The distinct sites, in fractional coordinates, are Be at (0.000, 0.000, 0.000), P at (0.000, 0.000, 0.562) and Pb at (0.000, 0.000, 0.312).